No. 1
# RbSnCl3

An optimized crystal structure of RbSnCl3 (GGA-PBE, Alexandria via LeMat-Bulk).

Properties
**Volume**: 186 Å³ per cell
**Formation energy (no corrections)**: -1.40 eV/atom

```
RbSnCl3
1.0
-2.474 3.390 3.781
-3.057 2.474 -4.218
-3.735 -4.193 1.315
Cl Rb Sn
3 1 1
direct
0.500 0.172 0.333
0.000 0.136 0.864
0.500 0.667 0.828
0.000 0.528 0.472
0.500 0.124 0.876
```

---

No. 2
# RbSn3Cl7

An optimized crystal structure of RbSn3Cl7 (GGA-PBE, Alexandria via LeMat-Bulk).

Properties
**Volume**: 339 Å³ per cell
**Formation energy (no corrections)**: -1.15 eV/atom

```
RbSn3Cl7
1.0
-5.298 -1.543 4.383
5.768 -3.522 2.894
0.826 6.658 2.157
Sn Cl Rb
3 7 1
direct
0.230 0.000 0.770
0.770 0.000 0.230
0.000 0.500 0.000
0.624 0.264 0.040
0.500 0.000 0.500
0.040 0.264 0.624
0.376 0.736 0.960
0.855 0.775 0.855
0.145 0.225 0.145
0.960 0.736 0.376
0.500 0.500 0.500
```

---

No. 3
# RbSnCl

An optimized crystal structure of RbSnCl (GGA-PBE, Alexandria via LeMat-Bulk).

Properties
**Volume**: 221 Å³ per cell
**Formation energy (no corrections)**: -1.03 eV/atom

```
RbSnCl
1.0
4.442 0.000 0.000
0.000 4.442 0.000
0.000 0.000 11.212
Cl Rb Sn
2 2 2
direct
0.000 0.500 0.651
0.500 0.000 0.349
0.500 0.000 0.652
0.000 0.500 0.348
0.500 0.000 0.019
0.000 0.500 0.981
```

---

No. 4
# RbSn3Cl

An optimized crystal structure of RbSn3Cl (GGA-PBE, Alexandria via LeMat-Bulk).

Properties
**Volume**: 257 Å³ per cell
**Energy above the most stable polymorph in this dataset**: 0.978 eV/atom
**Formation energy (no corrections)**: 1.16 eV/atom

```
RbSn3Cl
1.0
6.354 0.000 0.000
0.000 6.354 0.000
0.000 0.000 6.354
Sn Cl Rb
3 1 1
direct
0.500 0.000 0.000
0.000 0.000 0.500
0.000 0.500 0.000
0.500 0.500 0.500
0.000 0.000 0.000
```